Record 1
FeHgBiAu: optimized geometry, GGA-PBE.

Values from the calculation:
energy above the most stable polymorph in this dataset = 0.000 eV/atom
electronic total energy = -3.55 eV/atom

Cell lengths 6.9462, 6.9462, 6.9462 Å; angles 90.00, 90.00, 90.00 degrees
Closest atoms and distances in Å follow each position.
Space group F-43m (No. 216)
Asymmetric unit:
Fe 0.0000 0.0000 0.0000 [4 per cell]  4 Hg 3.01, 4 Bi 3.01
Hg 0.2500 0.2500 0.2500 [4 per cell]  4 Fe 3.01, 4 Au 3.01
Bi 0.2500 0.2500 0.7500 [4 per cell]  4 Fe 3.01, 4 Au 3.01
Au 0.0000 0.0000 0.5000 [4 per cell]  4 Hg 3.01, 4 Bi 3.01

=====

Record 2
FeBiMoAu: optimized geometry, GGA-PBE.

Values from the calculation:
energy above the most stable polymorph in this dataset = 0.000 eV/atom
electronic total energy = -6.01 eV/atom

Cell lengths 6.5053, 6.5053, 6.5053 Å; angles 90.00, 90.00, 90.00 degrees
Closest atoms and distances in Å follow each position.
Space group F-43m (No. 216)
Asymmetric unit:
Fe 0.0000 0.0000 0.0000 [4 per cell]  4 Bi 2.82, 4 Au 2.82
Bi 0.2500 0.2500 0.7500 [4 per cell]  4 Mo 2.82, 4 Fe 2.82
Mo 0.0000 0.0000 0.5000 [4 per cell]  4 Bi 2.82, 4 Au 2.82
Au 0.2500 0.2500 0.2500 [4 per cell]  4 Mo 2.82, 4 Fe 2.82

=====

Record 3
NbFeBiAu: optimized geometry, GGA-PBE.

Values from the calculation:
energy above the most stable polymorph in this dataset = 0.070 eV/atom
electronic total energy = -5.95 eV/atom

Cell lengths 6.6696, 6.6696, 6.6696 Å; angles 90.00, 90.00, 90.00 degrees
Closest atoms and distances in Å follow each position.
Space group F-43m (No. 216)
Asymmetric unit:
Nb 0.0000 0.0000 0.0000 [4 per cell]  4 Fe 2.89, 4 Au 2.89
Fe 0.2500 0.2500 0.7500 [4 per cell]  4 Nb 2.89, 4 Bi 2.89
Bi 0.0000 0.0000 0.5000 [4 per cell]  4 Fe 2.89, 4 Au 2.89
Au 0.2500 0.2500 0.2500 [4 per cell]  4 Nb 2.89, 4 Bi 2.89

=====

Record 4
NbFeBiAu: optimized geometry, GGA-PBE.

Values from the calculation:
energy above the most stable polymorph in this dataset = 0.000 eV/atom
electronic total energy = -6.02 eV/atom

Cell lengths 6.5888, 6.5888, 6.5888 Å; angles 90.00, 90.00, 90.00 degrees
Closest atoms and distances in Å follow each position.
Space group F-43m (No. 216)
Asymmetric unit:
Nb 0.0000 0.0000 0.0000 [4 per cell]  4 Bi 2.85, 4 Au 2.85
Fe 0.0000 0.0000 0.5000 [4 per cell]  4 Bi 2.85, 4 Au 2.85
Bi 0.2500 0.2500 0.2500 [4 per cell]  4 Nb 2.85, 4 Fe 2.85
Au 0.2500 0.2500 0.7500 [4 per cell]  4 Nb 2.85, 4 Fe 2.85

=====

Record 5
FeNiBiAu: optimized geometry, GGA-PBE.

Values from the calculation:
energy above the most stable polymorph in this dataset = 0.000 eV/atom
electronic total energy = -5.03 eV/atom

Cell lengths 6.4522, 6.4522, 6.4522 Å; angles 90.00, 90.00, 90.00 degrees
Closest atoms and distances in Å follow each position.
Space group F-43m (No. 216)
Asymmetric unit:
Fe 0.0000 0.0000 0.0000 [4 per cell]  4 Bi 2.79, 4 Au 2.79
Ni 0.0000 0.0000 0.5000 [4 per cell]  4 Bi 2.79, 4 Au 2.79
Bi 0.2500 0.2500 0.7500 [4 per cell]  4 Fe 2.79, 4 Ni 2.79
Au 0.2500 0.2500 0.2500 [4 per cell]  4 Fe 2.79, 4 Ni 2.79

=====

Record 6
FeBiPbAu: optimized geometry, GGA-PBE.

Values from the calculation:
energy above the most stable polymorph in this dataset = 0.000 eV/atom
electronic total energy = -4.44 eV/atom

Cell lengths 7.1393, 7.1393, 7.1393 Å; angles 90.00, 90.00, 90.00 degrees
Closest atoms and distances in Å follow each position.
Space group F-43m (No. 216)
Asymmetric unit:
Fe 0.0000 0.0000 0.0000 [4 per cell]  4 Pb 3.09, 4 Bi 3.09
Bi 0.2500 0.2500 0.2500 [4 per cell]  4 Fe 3.09, 4 Au 3.09
Pb 0.2500 0.2500 0.7500 [4 per cell]  4 Fe 3.09, 4 Au 3.09
Au 0.0000 0.0000 0.5000 [4 per cell]  4 Pb 3.09, 4 Bi 3.09

=====

Record 7
FeReBiAu: optimized geometry, GGA-PBE.

Values from the calculation:
energy above the most stable polymorph in this dataset = 0.000 eV/atom
electronic total energy = -6.22 eV/atom

Cell lengths 6.5347, 6.5347, 6.5347 Å; angles 90.00, 90.00, 90.00 degrees
Closest atoms and distances in Å follow each position.
Space group F-43m (No. 216)
Asymmetric unit:
Fe 0.0000 0.0000 0.0000 [4 per cell]  4 Bi 2.83, 4 Au 2.83
Re 0.0000 0.0000 0.5000 [4 per cell]  4 Bi 2.83, 4 Au 2.83
Bi 0.2500 0.2500 0.7500 [4 per cell]  4 Fe 2.83, 4 Re 2.83
Au 0.2500 0.2500 0.2500 [4 per cell]  4 Fe 2.83, 4 Re 2.83

=====

Record 8
FeSiBiAu: optimized geometry, GGA-PBE.

Values from the calculation:
energy above the most stable polymorph in this dataset = 0.000 eV/atom
electronic total energy = -4.71 eV/atom

Cell lengths 6.6203, 6.6203, 6.6203 Å; angles 90.00, 90.00, 90.00 degrees
Closest atoms and distances in Å follow each position.
Space group F-43m (No. 216)
Asymmetric unit:
Fe 0.0000 0.0000 0.0000 [4 per cell]  4 Bi 2.87, 4 Si 2.87
Si 0.2500 0.2500 0.2500 [4 per cell]  4 Fe 2.87, 4 Au 2.87
Bi 0.2500 0.2500 0.7500 [4 per cell]  4 Fe 2.87, 4 Au 2.87
Au 0.0000 0.0000 0.5000 [4 per cell]  4 Bi 2.87, 4 Si 2.87